# 1
Below is crystalline HoEr3Cu2 at its relaxed geometry, with properties calculated at the GGA-PBE level. Values from VASP.

Quantum ESPRESSO input file:
```
&SYSTEM
  ibrav = 0, nat = 12, ntyp = 3
/
ATOMIC_SPECIES
Er 167.26 Er.upf
Ho 164.93 Ho.upf
Cu 63.55 Cu.upf
ATOMIC_POSITIONS angstrom
Er 7.4483 -2.5341 -2.3133
Er 3.4543 -1.2990 -0.7467
Er 4.8896 -5.6728 1.5906
Er 2.5115 -2.5288 -3.8233
Er 4.1620 0.1119 -5.3188
Er 7.7021 -3.8306 0.7967
Ho 1.8034 -3.9405 0.7515
Ho 4.6335 -4.3758 -1.5178
Cu 5.0648 -1.1864 -2.9875
Cu 5.1177 -2.7324 1.0226
Cu 7.2226 -5.4759 -1.7443
Cu 0.8990 -2.6399 -1.5842
CELL_PARAMETERS angstrom
-1.9146 -4.1795 -1.5861
3.7449 0.4457 -5.6951
6.3639 -4.3733 3.8424
```

Properties
Its polymorph energy (0 for the lowest one) is 0 meV/atom. The calculation puts the formation enthalpy at 0 K at -0.180 eV/atom. As for the density of states at the Fermi level: 6.17 states/eV/f.u. For the total energy, the calculation gives -4.589 eV per atom.

=====

# 2
Below is crystalline Ho2ErCu at its relaxed geometry, with properties calculated at the GGA-PBE level. Values from VASP.

Quantum ESPRESSO input file:
```
&SYSTEM
  ibrav = 0, nat = 4, ntyp = 3
/
ATOMIC_SPECIES
Er 167.26 Er.upf
Ho 164.93 Ho.upf
Cu 63.55 Cu.upf
ATOMIC_POSITIONS angstrom
Er 3.6130 2.0859 4.7991
Ho 1.8065 1.0430 1.9674
Ho 1.8065 1.0430 7.6612
Cu 3.6129 2.0859 0.0138
CELL_PARAMETERS angstrom
3.6130 0.0000 0.0000
1.8065 3.1289 0.0000
1.8065 1.0430 9.6277
```

Properties
Its polymorph energy (0 for the lowest one) is 142 meV/atom. The calculation puts the formation enthalpy at 0 K at 0.027 eV/atom. As for the density of states at the Fermi level: 4.85 states/eV/f.u. For the total energy, the calculation gives -4.427 eV per atom.

=====

# 3
Below is crystalline HoErCu4 at its relaxed geometry, with properties calculated at the GGA-PBE level. Values from VASP.

Quantum ESPRESSO input file:
```
&SYSTEM
  ibrav = 0, nat = 6, ntyp = 3
/
ATOMIC_SPECIES
Cu 63.55 Cu.upf
Ho 164.93 Ho.upf
Er 167.26 Er.upf
ATOMIC_POSITIONS angstrom
Cu 2.1900 -4.6044 -3.2895
Cu 1.6616 -5.3307 -5.7501
Cu 1.6983 -2.7901 -5.1136
Cu -0.2337 -4.3302 -4.2441
Ho 0.6645 -2.1319 -2.2997
Er 0.0000 0.0000 0.0000
CELL_PARAMETERS angstrom
-1.0561 -1.4513 -4.9172
3.7876 -1.9993 -3.0096
-0.0735 -5.0771 -1.2719
```

Properties
Its polymorph energy (0 for the lowest one) is 93 meV/atom. The calculation puts the formation enthalpy at 0 K at -0.193 eV/atom. As for the density of states at the Fermi level: 3.92 states/eV/f.u. For the total energy, the calculation gives -4.447 eV per atom.

=====

# 4
Below is crystalline Ho4ErCu5 at its relaxed geometry, with properties calculated at the GGA-PBE level. Values from VASP.

Quantum ESPRESSO input file:
```
&SYSTEM
  ibrav = 0, nat = 10, ntyp = 3
/
ATOMIC_SPECIES
Cu 63.55 Cu.upf
Ho 164.93 Ho.upf
Er 167.26 Er.upf
ATOMIC_POSITIONS angstrom
Cu -1.7694 -1.4200 1.9247
Cu -4.5244 2.1187 11.3777
Cu -5.4448 3.3010 14.5360
Cu -2.6899 -0.2377 5.0830
Cu -3.6071 0.9405 8.2304
Ho -0.9149 1.1752 3.1392
Ho -3.6687 4.7124 12.5883
Ho -1.8331 2.3546 6.2899
Ho -2.7505 3.5330 9.4377
Er 0.0000 0.0000 0.0000
CELL_PARAMETERS angstrom
-3.2493 -0.9114 -0.6058
0.6185 -3.0951 1.3389
-4.5836 5.8876 15.7276
```

Properties
The calculation puts the formation enthalpy at 0 K at -0.272 eV/atom. As for the density of states at the Fermi level: 3.78 states/eV/f.u. For the total energy, the calculation gives -4.608 eV per atom.

=====

# 5
Below is crystalline HoErCu2 at its relaxed geometry, with properties calculated at the GGA-PBE level. Values from VASP.

Quantum ESPRESSO input file:
```
&SYSTEM
  ibrav = 0, nat = 4, ntyp = 3
/
ATOMIC_SPECIES
Ho 164.93 Ho.upf
Er 167.26 Er.upf
Cu 63.55 Cu.upf
ATOMIC_POSITIONS angstrom
Ho 0.0000 0.0000 0.0000
Er -3.7928 -2.9321 3.5495
Cu -5.6892 -4.3982 5.3242
Cu -1.8964 -1.4661 1.7747
CELL_PARAMETERS angstrom
-3.3492 -3.5311 0.1872
-0.3782 -2.7895 3.9745
-3.8581 0.4563 2.9372
```

Properties
The calculation puts the formation enthalpy at 0 K at -0.271 eV/atom. As for the density of states at the Fermi level: 2.24 states/eV/f.u. For the total energy, the calculation gives -4.604 eV per atom.

=====

# 6
Below is crystalline LaHoErCu at its relaxed geometry, with properties calculated at the GGA-PBE level. Values from VASP.

Quantum ESPRESSO input file:
```
&SYSTEM
  ibrav = 0, nat = 4, ntyp = 4
/
ATOMIC_SPECIES
Ho 164.93 Ho.upf
Er 167.26 Er.upf
Cu 63.55 Cu.upf
La 138.91 La.upf
ATOMIC_POSITIONS angstrom
Ho 1.7576 1.7576 6.6766
Er 1.7576 1.7576 3.3839
Cu 0.0000 0.0000 5.0171
La 0.0000 0.0000 0.6312
CELL_PARAMETERS angstrom
3.5152 0.0000 0.0000
0.0000 3.5152 0.0000
0.0000 0.0000 8.8019
```

Properties
The calculation puts the formation enthalpy at 0 K at -0.102 eV/atom. As for the density of states at the Fermi level: 3.95 states/eV/f.u. For the total energy, the calculation gives -4.643 eV per atom.

=====

# 7
Below is crystalline LiHoErCu at its relaxed geometry, with properties calculated at the GGA-PBE level. Values from VASP.

Quantum ESPRESSO input file:
```
&SYSTEM
  ibrav = 0, nat = 4, ntyp = 4
/
ATOMIC_SPECIES
Li 6.94 Li.upf
Er 167.26 Er.upf
Cu 63.55 Cu.upf
Ho 164.93 Ho.upf
ATOMIC_POSITIONS angstrom
Li 4.9843 2.8777 2.0348
Er 7.4764 4.3165 3.0522
Cu 0.0000 0.0000 0.0000
Ho 2.4921 1.4388 1.0174
CELL_PARAMETERS angstrom
4.9843 0.0000 0.0000
2.4921 4.3165 0.0000
2.4921 1.4388 4.0697
```

Properties
The calculation puts the formation enthalpy at 0 K at -0.047 eV/atom. As for the density of states at the Fermi level: 3.68 states/eV/f.u. For the total energy, the calculation gives -3.834 eV per atom.

=====

# 8
Below is crystalline HoErMnCu at its relaxed geometry, with properties calculated at the GGA-PBE level. Values from VASP.

Quantum ESPRESSO input file:
```
&SYSTEM
  ibrav = 0, nat = 4, ntyp = 4
/
ATOMIC_SPECIES
Ho 164.93 Ho.upf
Mn 54.94 Mn.upf
Cu 63.55 Cu.upf
Er 167.26 Er.upf
ATOMIC_POSITIONS angstrom
Ho -4.1962 -3.0348 -3.0751
Mn -6.2944 -4.5521 -4.6127
Cu -2.0981 -1.5174 -1.5376
Er 0.0000 0.0000 0.0000
CELL_PARAMETERS angstrom
-2.9399 0.0898 -3.9411
-0.9668 -4.1577 -2.4416
-4.4858 -2.0016 0.2325
```

Properties
The calculation puts the formation enthalpy at 0 K at 0.014 eV/atom. As for the density of states at the Fermi level: 4.87 states/eV/f.u. For the total energy, the calculation gives -5.587 eV per atom.

=====

# 9
Below is crystalline HoErCuOs at its relaxed geometry, with properties calculated at the GGA-PBE level. Values from VASP.

Quantum ESPRESSO input file:
```
&SYSTEM
  ibrav = 0, nat = 4, ntyp = 4
/
ATOMIC_SPECIES
Ho 164.93 Ho.upf
Cu 63.55 Cu.upf
Os 190.23 Os.upf
Er 167.26 Er.upf
ATOMIC_POSITIONS angstrom
Ho -3.5942 1.9479 4.2582
Cu -1.7971 0.9740 2.1291
Os -5.3913 2.9219 6.3872
Er 0.0000 0.0000 0.0000
CELL_PARAMETERS angstrom
-3.2981 3.3202 1.1527
-3.6899 -1.1648 2.8736
-0.2004 1.7404 4.4900
```

Properties
The calculation puts the formation enthalpy at 0 K at -0.295 eV/atom. As for the density of states at the Fermi level: 2.45 states/eV/f.u. For the total energy, the calculation gives -6.411 eV per atom.

=====

# 10
Below is crystalline PmHoErCu at its relaxed geometry, with properties calculated at the GGA-PBE level. Values from VASP.

Quantum ESPRESSO input file:
```
&SYSTEM
  ibrav = 0, nat = 4, ntyp = 4
/
ATOMIC_SPECIES
Cu 63.55 Cu.upf
Er 167.26 Er.upf
Pm 145.00 Pm.upf
Ho 164.93 Ho.upf
ATOMIC_POSITIONS angstrom
Cu 0.0000 0.0000 4.9444
Er 1.7470 1.7470 3.2870
Pm 0.0000 0.0000 0.6257
Ho 1.7470 1.7470 6.6326
CELL_PARAMETERS angstrom
3.4940 0.0000 0.0000
0.0000 3.4940 0.0000
0.0000 0.0000 8.6792
```

Properties
The calculation puts the formation enthalpy at 0 K at -0.109 eV/atom. As for the density of states at the Fermi level: 4.16 states/eV/f.u. For the total energy, the calculation gives -4.606 eV per atom.

=====

Question: Among the records above, which one has the highest formation enthalpy at 0 K?
Answer: Ho2ErCu

=====

Question: formation enthalpy at 0 K of number 3 (HoErCu4)?
Answer: -0.193 eV/atom

=====

Question: Among the records above, which one has the lowest formation enthalpy at 0 K?
Answer: HoErCuOs

=====

Question: formation enthalpy at 0 K of number 10 (PmHoErCu)?
Answer: -0.109 eV/atom